In2CoNi after structural relaxation, computed with PBE-GGA.

Unit cell a=4.4148 b=4.4148 c=5.3102 alpha=101.74 beta=101.74 gamma=40.88
Closest atoms and distances in Å follow each position.
Positions (direct):
In (0.2496, 0.2496, 0.2490)  3 Co 2.68-2.69, 3 Ni 2.69
In (0.7504, 0.7504, 0.7510)  3 Co 2.68-2.69, 3 Ni 2.69
Co (0.5000, 0.5000, 0.0000)  6 In 2.68-2.69
Ni (0.0000, 0.0000, 0.5000)  6 In 2.69

Summary:
The total energy comes out at -17.4 eV per formula unit. As for the calculated volume: 16.53 Å³ per atom. The value obtained for the calculated density is 8.72 g cm⁻³. The value obtained for the energy of formation from the pure elements is 0.239 eV per atom. The value obtained for the energy above the most stable polymorph in this dataset is 214 meV per atom. The magnetic moment comes out at 0.723 Bohr magnetons per cell.